w) # Ac2CoI

A relaxed Ac2CoI crystal (GGA-PBE, Alexandria via LeMat-Bulk).

Unit cell a=4.2551 b=4.2551 c=26.0389 alpha=90.00 beta=90.00 gamma=120.00
Space group R3m (No. 160, hexagonal axes)
Inequivalent atoms, fractional coordinates:
Ac 0.0000 0.0000 0.0000 x3
Ac 0.0000 0.0000 0.2128 x3
Co 0.0000 0.0000 0.6055 x3
I 0.0000 0.0000 0.7741 x3

Output
As for the volume: 34.02 Å³/atom. As for the density of states at the Fermi level: 1.241 states/eV/f.u.

x) # Ac2CoI

A relaxed Ac2CoI crystal (GGA-PBE, Alexandria via LeMat-Bulk).

Unit cell a=4.2694 b=4.2694 c=25.8657 alpha=90.00 beta=90.00 gamma=120.00
Space group R-3m (No. 166, hexagonal axes)
Inequivalent atoms, fractional coordinates:
Ac 0.0000 0.0000 0.2270 x6
Co 0.0000 0.0000 0.5000 x3
I 0.0000 0.0000 0.0000 x3

Output
As for the volume: 34.03 Å³/atom. As for the density of states at the Fermi level: 0.920 states/eV/f.u.

The most stable arrangement is x), and the next structure is 1.3 kJ/mol of atoms less stable.

w) # Ac6In2Co

A relaxed Ac6In2Co crystal (GGA-PBE, Alexandria via LeMat-Bulk).

Unit cell a=4.0963 b=16.4239 c=9.4768 alpha=90.00 beta=90.00 gamma=90.00
Space group Amm2 (No. 38)
Inequivalent atoms, fractional coordinates:
Ac 0.0000 0.0000 0.0000 x2
Ac 0.0000 0.1144 0.6572 x4
Ac 0.5000 0.0000 0.3635 x2
Ac 0.5000 0.2041 0.9759 x4
In 0.0000 0.1666 0.2717 x4
Co 0.5000 0.0000 0.7704 x2

Output
As for the volume: 35.42 Å³/atom. As for the density of states at the Fermi level: 11.932 states/eV/f.u.

x) # Ac6In2Co

A relaxed Ac6In2Co crystal (GGA-PBE, Alexandria via LeMat-Bulk).

Unit cell a=7.7648 b=7.7307 c=13.5155 alpha=90.00 beta=124.73 gamma=90.00
Space group P2_1/c (No. 14)
Inequivalent atoms, fractional coordinates:
Ac 0.1904 0.2205 0.4731 x4
Ac 0.2570 0.7181 0.4737 x4
Ac 0.3089 0.0007 0.2528 x4
In 0.2401 0.0240 0.7482 x4
Co 0.5000 0.0000 0.5000 x2

Output
As for the volume: 37.04 Å³/atom. As for the density of states at the Fermi level: 9.949 states/eV/f.u.

The most stable arrangement is x), and the next structure is 1.1 kJ/mol of atoms less stable.

w) # Ac6In3Co

A relaxed Ac6In3Co crystal (GGA-PBE, Alexandria via LeMat-Bulk).

Unit cell a=11.2266 b=5.8848 c=11.8205 alpha=90.00 beta=114.11 gamma=90.00
Space group P2_1/m (No. 11)
Inequivalent atoms, fractional coordinates:
Ac 0.0291 0.2500 0.1023 x2
Ac 0.0597 0.2500 0.7330 x2
Ac 0.2024 0.2500 0.4589 x2
Ac 0.2888 0.7500 0.2152 x2
Ac 0.3621 0.7500 0.9125 x2
Ac 0.4540 0.7500 0.6104 x2
In 0.1334 0.7500 0.6028 x2
In 0.3059 0.2500 0.0501 x2
In 0.3988 0.2500 0.7733 x2
Co 0.2100 0.7500 0.4191 x2

Output
As for the volume: 35.64 Å³/atom. As for the density of states at the Fermi level: 8.753 states/eV/f.u.

x) # Ac6In3Co

A relaxed Ac6In3Co crystal (GGA-PBE, Alexandria via LeMat-Bulk).

Unit cell a=13.2653 b=13.2653 c=14.9497 alpha=90.00 beta=90.00 gamma=120.00
Space group R-3c (No. 167, hexagonal axes)
Inequivalent atoms, fractional coordinates:
Ac 0.0328 0.1903 0.3882 x36
In 0.0000 0.3895 0.2500 x18
Co 0.0000 0.0000 0.0000 x6

Output
As for the volume: 37.97 Å³/atom. As for the density of states at the Fermi level: 11.752 states/eV/f.u.

The most stable arrangement is w), and the next structure is 3.4 kJ/mol of atoms less stable.

w) # AcCoIr

A relaxed AcCoIr crystal (GGA-PBE, Alexandria via LeMat-Bulk).

Unit cell a=5.3764 b=9.2991 c=9.4984 alpha=90.00 beta=90.00 gamma=90.00
Space group Fmmm (No. 69)
Inequivalent atoms, fractional coordinates:
Ac 0.0000 0.1655 0.0000 x8
Co 0.2500 0.2500 0.2500 x8
Ir 0.0000 0.0000 0.2865 x8

Output
As for the volume: 19.79 Å³/atom. As for the density of states at the Fermi level: 3.109 states/eV/f.u.

x) # AcCoIr

A relaxed AcCoIr crystal (GGA-PBE, Alexandria via LeMat-Bulk).

Unit cell a=4.1809 b=4.1809 c=4.4425 alpha=90.00 beta=90.00 gamma=120.00
Space group P-6m2 (No. 187)
Inequivalent atoms, fractional coordinates:
Ac 0.0000 0.0000 0.0000 x1
Co 0.3333 0.6667 0.5000 x1
Ir 0.6667 0.3333 0.5000 x1

Output
As for the volume: 22.42 Å³/atom. As for the density of states at the Fermi level: 2.057 states/eV/f.u.

The most stable arrangement is x), and the next structure is 56.6 kJ/mol of atoms less stable.

w) # Ac3LaCo

A relaxed Ac3LaCo crystal (GGA-PBE, Alexandria via LeMat-Bulk).

Unit cell a=5.7266 b=5.7266 c=5.7266 alpha=90.00 beta=90.00 gamma=90.00
Space group Pm-3m (No. 221)
Inequivalent atoms, fractional coordinates:
Ac 0.0000 0.0000 0.5000 x3
La 0.5000 0.5000 0.5000 x1
Co 0.0000 0.0000 0.0000 x1

Output
As for the volume: 37.56 Å³/atom. As for the density of states at the Fermi level: 10.252 states/eV/f.u.

x) # Ac3LaCo

A relaxed Ac3LaCo crystal (GGA-PBE, Alexandria via LeMat-Bulk).

Unit cell a=12.5745 b=9.2786 c=8.8265 alpha=90.00 beta=134.17 gamma=90.00
Space group C2/m (No. 12)
Inequivalent atoms, fractional coordinates:
Ac 0.0391 0.2081 0.2914 x8
Ac 0.2079 0.5000 0.7506 x4
La 0.2023 0.5000 0.1723 x4
Co 0.1256 0.5000 0.3630 x4

Output
As for the volume: 36.94 Å³/atom. As for the density of states at the Fermi level: 6.128 states/eV/f.u.

The most stable arrangement is x), and the next structure is 11.5 kJ/mol of atoms less stable.

w) # AcLa4Co

A relaxed AcLa4Co crystal (GGA-PBE, Alexandria via LeMat-Bulk).

Unit cell a=17.4382 b=6.7557 c=7.4955 alpha=90.00 beta=106.80 gamma=90.00
Space group C2/c (No. 15)
Inequivalent atoms, fractional coordinates:
Ac 0.0000 0.0748 0.2500 x4
La 0.0997 0.4144 0.9786 x8
La 0.1981 0.0750 0.6478 x8
Co 0.2500 0.2500 0.0000 x4

Output
As for the volume: 35.22 Å³/atom. As for the density of states at the Fermi level: 8.602 states/eV/f.u.

x) # AcLa4Co

A relaxed AcLa4Co crystal (GGA-PBE, Alexandria via LeMat-Bulk).

Unit cell a=5.9028 b=18.7253 c=7.7510 alpha=90.00 beta=90.00 gamma=90.00
Space group Cmcm (No. 63)
Inequivalent atoms, fractional coordinates:
Ac 0.0000 0.1112 0.2500 x4
La 0.0000 0.1155 0.7500 x4
La 0.0000 0.2998 0.0062 x8
La 0.0000 0.5000 0.0000 x4
Co 0.0000 0.4049 0.2500 x4

Output
As for the volume: 35.70 Å³/atom. As for the density of states at the Fermi level: 8.451 states/eV/f.u.

The most stable arrangement is w), and the next structure is 2.9 kJ/mol of atoms less stable.

w) # AcLaCo4

A relaxed AcLaCo4 crystal (GGA-PBE, Alexandria via LeMat-Bulk).

Unit cell a=7.4017 b=7.4017 c=7.4017 alpha=90.00 beta=90.00 gamma=90.00
Space group F-43m (No. 216)
Inequivalent atoms, fractional coordinates:
Ac 0.0000 0.0000 0.0000 x4
La 0.2500 0.2500 0.7500 x4
Co 0.1243 0.1243 0.3757 x16

Output
As for the volume: 16.90 Å³/atom. As for the density of states at the Fermi level: 8.213 states/eV/f.u.

x) # AcLaCo4

A relaxed AcLaCo4 crystal (GGA-PBE, Alexandria via LeMat-Bulk).

Unit cell a=3.9643 b=6.8889 c=8.7410 alpha=90.00 beta=90.00 gamma=90.00
Space group Immm (No. 71)
Inequivalent atoms, fractional coordinates:
Ac 0.0000 0.0000 0.0000 x2
La 0.0000 0.0000 0.5000 x2
Co 0.0000 0.3335 0.2474 x8

Output
As for the volume: 19.89 Å³/atom. As for the density of states at the Fermi level: 5.336 states/eV/f.u.

The most stable arrangement is x), and the next structure is 8.3 kJ/mol of atoms less stable.

w) # LiAcCo

A relaxed LiAcCo crystal (GGA-PBE, Alexandria via LeMat-Bulk).

Unit cell a=4.0184 b=4.0245 c=12.2621 alpha=80.56 beta=80.63 gamma=60.05
Space group P-1 (No. 2)
Inequivalent atoms, fractional coordinates:
Li 0.1934 0.1941 0.4184 x2
Ac 0.0548 0.0574 0.8327 x2
Co 0.3332 0.3341 0.9990 x2

Output
As for the volume: 28.12 Å³/atom. As for the density of states at the Fermi level: 3.497 states/eV/f.u.

x) # LiAcCo

A relaxed LiAcCo crystal (GGA-PBE, Alexandria via LeMat-Bulk).

Unit cell a=13.5480 b=4.0660 c=5.4239 alpha=90.00 beta=100.91 gamma=90.00
Space group C2/m (No. 12)
Inequivalent atoms, fractional coordinates:
Li 0.0955 0.0000 0.3128 x4
Ac 0.1304 0.5000 0.8301 x4
Co 0.2355 0.5000 0.4077 x4

Output
As for the volume: 24.45 Å³/atom. As for the density of states at the Fermi level: 2.892 states/eV/f.u.

The most stable arrangement is w), and the next structure is 4.1 kJ/mol of atoms less stable.